(1)
{"formula": "NaCaZrMo2", "functional": "GGA-PBE", "state": "relaxed", "sg": "No. 123", "formation_energy_ev_per_atom": 2.2922, "vol_a3_per_atom": 23.53, "n_ef_per_ev_cell": 6.3, "lattice": [[-2.953, -3.581, 0.962], [2.344, -0.850, 4.031], [-3.174, 3.301, 2.542]], "species": ["Mo", "Mo", "Zr", "Ca", "Na"], "frac_coords": [[0.000, 0.500, 0.000], [0.500, 0.000, 0.000], [0.000, 0.000, 0.500], [0.000, 0.000, 0.000], [0.500, 0.500, 0.500]]}

(2)
{"formula": "Sn2RuPb2", "functional": "GGA-PBE", "state": "relaxed", "sg": "No. 127", "formation_energy_ev_per_atom": 0.2225, "vol_a3_per_atom": 26.10, "n_ef_per_ev_cell": 2.8, "lattice": [[-3.616, -4.238, -4.268], [5.758, -1.000, -3.886], [1.313, -4.156, 3.015]], "species": ["Sn", "Sn", "Sn", "Sn", "Ru", "Ru", "Pb", "Pb", "Pb", "Pb"], "frac_coords": [[0.155, 0.345, 0.000], [0.345, 0.845, 0.000], [0.655, 0.155, 0.000], [0.845, 0.655, 0.000], [0.000, 0.000, 0.000], [0.500, 0.500, 0.000], [0.328, 0.172, 0.500], [0.672, 0.828, 0.500], [0.828, 0.328, 0.500], [0.172, 0.672, 0.500]]}

(3)
{"formula": "La4TbY3S8", "functional": "GGA-PBE", "state": "relaxed", "formation_energy_uncorrected_mev_per_atom": -1897, "sg": "No. 12", "vol_a3_per_atom": 24.07, "n_ef_per_ev_cell": 10.1, "lattice": [[-5.357, -1.725, 5.450], [-2.360, -5.486, -4.056], [9.482, 2.189, 4.382]], "species": ["La", "La", "La", "La", "Y", "Y", "Y", "S", "S", "S", "S", "S", "S", "S", "S", "Tb"], "frac_coords": [[0.500, 0.000, 0.500], [0.500, 0.000, 0.000], [0.000, 0.000, 0.000], [0.000, 0.000, 0.500], [0.000, 0.500, 0.500], [0.500, 0.500, 0.500], [0.500, 0.500, 0.000], [0.668, 0.577, 0.836], [0.168, 0.096, 0.337], [0.332, 0.904, 0.663], [0.832, 0.904, 0.663], [0.832, 0.423, 0.164], [0.668, 0.096, 0.337], [0.168, 0.577, 0.836], [0.332, 0.423, 0.164], [0.000, 0.500, 0.000]]}

(4)
{"formula": "MgAlTl2", "functional": "GGA-PBE", "state": "relaxed", "sg": "No. 122", "formation_energy_ev_per_atom": 0.2384, "vol_a3_per_atom": 26.51, "n_ef_per_ev_cell": 4.3, "lattice": [[-0.774, -1.424, -4.269], [-1.032, -4.160, 1.575], [-10.662, -0.047, -0.493]], "species": ["Mg", "Mg", "Tl", "Tl", "Tl", "Tl", "Al", "Al"], "frac_coords": [[0.250, 0.750, 0.500], [0.500, 0.500, 0.000], [0.875, 0.879, 0.750], [0.375, 0.371, 0.750], [0.121, 0.625, 0.250], [0.629, 0.125, 0.250], [0.750, 0.250, 0.500], [0.000, 0.000, 0.000]]}

(5)
{"formula": "La5PrSb4", "functional": "GGA-PBE", "state": "relaxed", "formation_energy_uncorrected_mev_per_atom": -867, "sg": "No. 12", "vol_a3_per_atom": 38.55, "n_ef_per_ev_cell": 9.4, "lattice": [[-3.798, 1.425, -1.942], [-4.241, -7.424, 2.845], [0.633, 5.799, 8.226]], "species": ["Sb", "Sb", "Sb", "Sb", "La", "La", "La", "La", "La", "Pr"], "frac_coords": [[0.669, 0.088, 0.337], [0.331, 0.912, 0.663], [0.005, 0.254, 0.010], [0.995, 0.746, 0.990], [0.829, 0.660, 0.658], [0.171, 0.340, 0.342], [0.836, 0.168, 0.672], [0.500, 0.500, 0.000], [0.164, 0.832, 0.328], [0.500, 0.000, 0.000]]}

(6)
{"formula": "MgRe2Se", "functional": "GGA-PBE", "state": "relaxed", "formation_energy_uncorrected_mev_per_atom": 772, "sg": "No. 123", "vol_a3_per_atom": 15.16, "n_ef_per_ev_cell": 3.8, "lattice": [[-2.901, 2.054, 2.592], [2.573, -0.766, 3.485], [1.480, 2.716, -0.496]], "species": ["Se", "Re", "Re", "Mg"], "frac_coords": [[0.500, 0.000, 0.500], [0.500, 0.500, 0.000], [0.000, 0.000, 0.000], [0.000, 0.500, 0.500]]}

(7)
{"formula": "Nd11Dy9Sc4", "functional": "GGA-PBE", "state": "relaxed", "sg": "No. 65", "formation_energy_ev_per_atom": 0.0513, "vol_a3_per_atom": 32.31, "n_ef_per_ev_cell": 30.9, "lattice": [[3.600, 0.000, 0.000], [0.000, 14.072, -6.007], [0.000, 0.007, 15.301]], "species": ["Nd", "Nd", "Nd", "Nd", "Nd", "Nd", "Nd", "Nd", "Nd", "Nd", "Nd", "Dy", "Dy", "Dy", "Dy", "Dy", "Dy", "Dy", "Dy", "Dy", "Sc", "Sc", "Sc", "Sc"], "frac_coords": [[0.000, 0.000, 0.000], [0.000, 0.594, 0.954], [0.000, 0.406, 0.046], [0.000, 0.160, 0.840], [0.000, 0.629, 0.371], [0.000, 0.954, 0.594], [0.000, 0.701, 0.701], [0.000, 0.299, 0.299], [0.000, 0.371, 0.629], [0.000, 0.046, 0.406], [0.000, 0.840, 0.160], [0.500, 0.073, 0.217], [0.500, 0.628, 0.167], [0.500, 0.927, 0.783], [0.500, 0.372, 0.833], [0.500, 0.833, 0.372], [0.500, 0.217, 0.073], [0.500, 0.783, 0.927], [0.500, 0.167, 0.628], [0.500, 0.500, 0.500], [0.500, 0.759, 0.554], [0.500, 0.446, 0.241], [0.500, 0.554, 0.759], [0.500, 0.241, 0.446]]}

(8)
{"formula": "Ti2HIrW", "functional": "GGA-PBE", "state": "relaxed", "sg": "No. 123", "total_energy_ev_per_atom": -8.54, "vol_a3_per_atom": 12.95, "n_ef_per_ev_cell": 2.5, "lattice": [[-1.213, -3.389, 2.379], [3.408, 0.591, 2.580], [-1.896, 2.099, 2.024]], "species": ["Ti", "Ti", "Ir", "H", "W"], "frac_coords": [[0.000, 0.500, 0.000], [0.500, 0.000, 0.000], [0.500, 0.500, 0.500], [0.000, 0.000, 0.000], [0.000, 0.000, 0.500]]}

(9)
{"formula": "Y2Tm6Sc", "functional": "GGA-PBE", "state": "relaxed", "sg": "No. 15", "formation_energy_ev_per_atom": 0.1752, "vol_a3_per_atom": 30.65, "n_ef_per_ev_cell": 27.7, "lattice": [[6.990, 0.330, 0.319], [2.547, 9.012, 0.269], [2.547, 0.561, 8.999]], "species": ["Sc", "Sc", "Y", "Y", "Y", "Y", "Tm", "Tm", "Tm", "Tm", "Tm", "Tm", "Tm", "Tm", "Tm", "Tm", "Tm", "Tm"], "frac_coords": [[0.250, 0.158, 0.842], [0.750, 0.842, 0.158], [0.609, 0.695, 0.661], [0.391, 0.305, 0.339], [0.109, 0.661, 0.695], [0.891, 0.339, 0.305], [0.218, 0.824, 0.964], [0.226, 0.995, 0.558], [0.782, 0.176, 0.036], [0.274, 0.442, 0.005], [0.979, 0.362, 0.653], [0.774, 0.005, 0.442], [0.282, 0.036, 0.176], [0.479, 0.653, 0.362], [0.718, 0.964, 0.824], [0.021, 0.638, 0.347], [0.726, 0.558, 0.995], [0.521, 0.347, 0.638]]}

(10)
{"formula": "MgSb2MoI", "functional": "GGA-PBE", "state": "relaxed", "formation_energy_uncorrected_mev_per_atom": 438, "sg": "No. 123", "vol_a3_per_atom": 32.06, "n_ef_per_ev_cell": 2.7, "lattice": [[5.173, 0.000, 0.000], [0.000, 5.173, 0.000], [0.000, 0.000, 5.990]], "species": ["Sb", "Sb", "Mo", "Mg", "I"], "frac_coords": [[0.500, 0.000, 0.000], [0.000, 0.500, 0.000], [0.000, 0.000, 0.000], [0.500, 0.500, 0.500], [0.000, 0.000, 0.500]]}

(11)
{"formula": "TlHRh3", "functional": "GGA-PBE", "state": "relaxed", "sg": "No. 221", "total_energy_ev_per_atom": -5.52, "vol_a3_per_atom": 13.24, "n_ef_per_ev_cell": 4.6, "lattice": [[-2.250, 0.492, 3.326], [2.360, -2.619, 1.984], [2.395, 3.044, 1.170]], "species": ["H", "Tl", "Rh", "Rh", "Rh"], "frac_coords": [[0.000, 0.000, 0.000], [0.500, 0.500, 0.500], [0.000, 0.000, 0.500], [0.500, 0.000, 0.000], [0.000, 0.500, 0.000]]}

(12)
{"formula": "Pd3Pt2", "functional": "GGA-PBE", "state": "relaxed", "sg": "No. 139", "formation_energy_ev_per_atom": -0.0275, "vol_a3_per_atom": 15.43, "n_ef_per_ev_cell": 11.6, "lattice": [[-1.483, -0.447, 2.325], [-1.733, -1.664, -1.426], [7.316, -6.728, 1.695]], "species": ["Pt", "Pt", "Pd", "Pd", "Pd"], "frac_coords": [[0.900, 0.900, 0.800], [0.100, 0.100, 0.200], [0.300, 0.300, 0.600], [0.700, 0.700, 0.400], [0.500, 0.500, 0.000]]}

(13)
{"formula": "La3Ir", "functional": "GGA-PBE", "state": "relaxed", "sg": "No. 123", "formation_energy_ev_per_atom": -0.0738, "vol_a3_per_atom": 27.30, "n_ef_per_ev_cell": 6.0, "lattice": [[-0.293, -2.876, 4.113], [5.016, -0.291, 0.153], [0.130, 3.536, 2.482]], "species": ["La", "La", "La", "Ir"], "frac_coords": [[0.500, 0.500, 0.000], [0.500, 0.000, 0.500], [0.000, 0.500, 0.500], [0.000, 0.000, 0.000]]}

(14)
{"formula": "Np3Tl3ReS8", "functional": "GGA-PBE", "state": "relaxed", "formation_energy_uncorrected_mev_per_atom": -842, "sg": "No. 166", "vol_a3_per_atom": 25.98, "n_ef_per_ev_cell": 28.1, "lattice": [[-0.309, 7.551, 0.080], [-2.835, -3.960, 5.777], [8.995, 0.371, -0.273]], "species": ["S", "S", "S", "S", "S", "S", "S", "S", "Np", "Np", "Np", "Re", "Tl", "Tl", "Tl"], "frac_coords": [[0.244, 0.028, 0.313], [0.784, 0.569, 0.313], [0.216, 0.972, 0.687], [0.216, 0.431, 0.687], [0.784, 0.028, 0.313], [0.756, 0.972, 0.687], [0.734, 0.469, 0.703], [0.266, 0.531, 0.297], [0.500, 0.500, 0.500], [0.000, 0.500, 0.500], [0.500, 0.000, 0.500], [0.000, 0.000, 0.500], [0.000, 0.000, 0.000], [0.500, 0.500, 0.000], [0.000, 0.500, 0.000]]}

(15)
{"formula": "TaMnSe2Br", "functional": "GGA-PBE", "state": "relaxed", "formation_energy_uncorrected_mev_per_atom": 898, "sg": "No. 123", "vol_a3_per_atom": 20.14, "n_ef_per_ev_cell": 11.6, "lattice": [[4.646, 0.000, 0.000], [0.000, 4.646, 0.000], [0.000, 0.000, 4.664]], "species": ["Mn", "Br", "Se", "Se", "Ta"], "frac_coords": [[0.000, 0.000, 0.000], [0.000, 0.000, 0.500], [0.000, 0.500, 0.000], [0.500, 0.000, 0.000], [0.500, 0.500, 0.500]]}

(16)
{"formula": "RbSc2Si", "functional": "GGA-PBE", "state": "relaxed", "formation_energy_uncorrected_mev_per_atom": 530, "sg": "No. 141", "vol_a3_per_atom": 41.64, "n_ef_per_ev_cell": 11.4, "lattice": [[-3.500, 3.676, -3.645], [-0.153, -4.471, -4.363], [-8.891, -3.612, -0.462]], "species": ["Sc", "Sc", "Sc", "Sc", "Rb", "Rb", "Si", "Si"], "frac_coords": [[0.375, 0.625, 0.250], [0.875, 0.625, 0.750], [0.375, 0.625, 0.750], [0.375, 0.125, 0.250], [0.000, 0.000, 0.000], [0.750, 0.250, 0.500], [0.500, 0.500, 0.000], [0.250, 0.750, 0.500]]}

(17)
{"formula": "Pa2InCuO8", "functional": "GGA-PBE", "state": "relaxed", "formation_energy_uncorrected_mev_per_atom": -2385, "sg": "No. 82", "vol_a3_per_atom": 12.91, "n_ef_per_ev_cell": 5.8, "lattice": [[-3.090, 2.376, -3.612], [-3.078, -4.327, -0.212], [-0.050, 3.008, 5.930]], "species": ["O", "O", "O", "O", "O", "O", "O", "O", "Pa", "Pa", "In", "Cu"], "frac_coords": [[0.273, 0.790, 0.170], [0.857, 0.905, 0.337], [0.480, 0.432, 0.337], [0.095, 0.520, 0.663], [0.620, 0.727, 0.830], [0.568, 0.143, 0.663], [0.897, 0.380, 0.170], [0.210, 0.103, 0.830], [0.500, 0.500, 0.000], [0.250, 0.750, 0.500], [0.000, 0.000, 0.000], [0.750, 0.250, 0.500]]}

(18)
{"formula": "MgTeWI2", "functional": "GGA-PBE", "state": "relaxed", "formation_energy_uncorrected_mev_per_atom": 515, "sg": "No. 123", "vol_a3_per_atom": 33.97, "n_ef_per_ev_cell": 2.5, "lattice": [[5.682, 0.000, 0.000], [0.000, 5.682, 0.000], [0.000, 0.000, 5.260]], "species": ["Te", "I", "I", "Mg", "W"], "frac_coords": [[0.000, 0.000, 0.500], [0.000, 0.500, 0.000], [0.500, 0.000, 0.000], [0.500, 0.500, 0.500], [0.000, 0.000, 0.000]]}

(19)
{"formula": "Al2CoSe", "functional": "GGA-PBE", "state": "relaxed", "formation_energy_uncorrected_mev_per_atom": 235, "sg": "No. 216", "vol_a3_per_atom": 15.50, "n_ef_per_ev_cell": 2.9, "lattice": [[-0.911, 3.244, -2.895], [-3.960, 2.010, 0.091], [-0.326, 4.202, 1.403]], "species": ["Co", "Se", "Al", "Al"], "frac_coords": [[0.500, 0.500, 0.500], [0.750, 0.750, 0.750], [0.000, 0.000, 0.000], [0.250, 0.250, 0.250]]}

(20)
{"formula": "TaCuAs2", "functional": "GGA-PBE", "state": "relaxed", "sg": "No. 99", "formation_energy_ev_per_atom": -0.1207, "vol_a3_per_atom": 16.79, "n_ef_per_ev_cell": 1.4, "lattice": [[-2.358, -2.472, -0.843], [2.245, -1.338, -2.356], [2.058, -3.264, 3.815]], "species": ["As", "As", "Cu", "Ta"], "frac_coords": [[0.500, 0.500, 0.314], [0.000, 0.000, 0.943], [0.000, 0.000, 0.468], [0.500, 0.500, 0.775]]}